Material: Th3C2S
Method: DFT, PBE
State: optimized geometry

Calculated values
- space group = No. 71
- E above lowest polymorph (meV/atom) = 0.0
- N(E_F) (states/eV/f.u.) = 2.214

a b c (Å): 3.8301 5.5445 6.7867
angles (deg): 114.11 106.39 90.00
Closest atoms and distances in Å follow each position.
Fractional positions:
Th 0.8142 0.3142 0.1284  4 C 2.59-2.78
Th 0.1858 0.6858 0.8716  4 C 2.59-2.78
Th 0.5000 0.0000 0.5000  4 C 2.74, 2 S 2.77
C 0.8334 0.8334 0.1669  6 Th 2.59-2.78
C 0.1666 0.1666 0.8331  6 Th 2.59-2.78
S 0.5000 0.5000 0.5000  6 Th 2.77-2.91